Record 1
DFT (SCAN) results for a crystal of GdCuSe2 relaxed with PBEsol.

Summary:
SG: No. 14
DFT total energy (eV/atom): -29.89

```
GdCuSe2
1.0
6.4887 0.0246 0.0000
-0.7607 6.9628 0.0000
0.0000 0.0000 7.2680
Se Cu Gd
8 4 4
Cartesian
3.7160 1.9689 4.4136
3.3357 5.4504 6.4884
2.3923 1.5371 0.7796
2.0120 5.0185 2.8544
0.1337 3.4716 5.6485
-0.2467 6.9530 5.2534
5.5943 3.5159 1.6194
5.9747 0.0345 2.0146
2.0995 6.6696 4.8186
2.4799 3.1882 6.0834
3.2481 3.7992 1.1846
3.6285 0.3178 2.4494
4.7006 4.8908 3.9590
1.0274 2.0966 3.3090
5.0809 1.4094 6.9430
0.6471 5.5780 0.3250
```

Record 2
DFT (SCAN) results for a crystal of BeAs2Se relaxed with PBEsol.

Summary:
SG: No. 8
DFT total energy (eV/atom): -16.56

```
BeAs2Se
1.0
-2.9471 -1.8867 0.9038
0.3384 -3.3313 1.3601
-0.5612 1.3748 8.3935
Se As Be
1 2 1
Cartesian
-2.4008 -3.2248 7.0771
-2.6095 -5.1077 2.6192
-0.8164 -1.1035 2.3846
-1.5369 -1.5470 6.1691
```

Record 3
DFT (SCAN) results for a crystal of ScCrP2 relaxed with PBEsol.

Summary:
SG: No. 160
Formation energy (eV/atom): 0.085

```
ScCrP2
1.0
2.9900 0.0000 0.0000
1.4950 2.5894 0.0000
1.4950 0.8631 7.5891
Cr P Sc
1 2 1
Cartesian
1.4950 0.8631 1.6232
4.4850 2.5894 0.1189
4.4850 2.5894 5.8702
2.9900 1.7263 3.7714
```

Record 4
DFT (SCAN) results for a crystal of CoCu2Te relaxed with PBEsol.

Summary:
SG: No. 119
DFT total energy (eV/atom): -20.95

```
CoCu2Te
1.0
-1.4524 1.7603 3.0678
3.0011 -1.1417 2.0759
1.0268 2.7665 -3.4840
Co Cu Te
1 2 1
Cartesian
0.1744 2.4181 1.0778
2.4011 0.9671 0.5819
0.0000 0.0000 0.0000
0.7743 0.3093 2.5718
```

Record 5
DFT (SCAN) results for a crystal of InNiRh relaxed with PBEsol.

Summary:
SG: No. 216
Formation energy (eV/atom): 0.352

```
InNiRh
1.0
4.1782 0.0000 0.0000
2.0891 3.6184 0.0000
2.0891 1.2061 3.4115
In Rh Ni
1 1 1
Cartesian
2.0891 1.2061 0.8529
4.1782 2.4123 1.7058
0.0000 0.0000 0.0000
```

Record 6
DFT (SCAN) results for a crystal of TaZnCu2S relaxed with PBEsol.

Summary:
SG: No. 123
DFT total energy (eV/atom): -22.38

```
TaZnCu2S
1.0
4.6857 0.0000 0.0000
0.0000 4.6857 0.0000
0.0000 0.0000 4.9785
Cu Zn S Ta
2 1 1 1
Cartesian
2.3429 0.0000 0.0000
0.0000 2.3429 0.0000
0.0000 0.0000 2.4893
2.3429 2.3429 2.4893
0.0000 0.0000 0.0000
```